Entry 1:
DFT (GGA-PBE) results for Sr2YTiO6 after structural relaxation.

Lattice parameters (Å, degrees): 5.8960 5.8959 5.8952 60.01 60.00 90.00
Positions (direct):
Y 0.5000 0.5000 0.0000
O 0.7651 0.7651 0.0000
O 0.2349 0.7651 0.0000
O 0.2349 0.2349 0.0000
O 0.7652 0.7652 0.4697
O 0.2348 0.2348 0.5303
O 0.7651 0.2349 0.0000
Ti 0.0000 0.0000 0.0000
Sr 0.7500 0.2500 0.5000
Sr 0.2500 0.7500 0.5000

Values from the calculation:
formation energy from raw total energies	-2.887	eV per atom
M_tot	0.084	μB/atom


Entry 2:
DFT (GGA-PBE) results for Ca2MgRu2 after structural relaxation.

Lattice parameters (Å, degrees): 6.9699 6.9699 4.6064 90.00 90.00 90.00
Positions (direct):
Ca 0.1733 0.6733 0.5000
Ca 0.3267 0.1733 0.5000
Ca 0.8267 0.3267 0.5000
Ca 0.6733 0.8267 0.5000
Ru 0.3791 0.8791 0.0000
Ru 0.8791 0.6209 0.0000
Ru 0.1209 0.3791 0.0000
Ru 0.6209 0.1209 0.0000
Mg 0.5000 0.5000 0.0000
Mg 0.0000 0.0000 0.0000

Values from the calculation:
M_tot	0.269	μB/atom
formation energy from the elements	0.1640	eV per atom


Entry 3:
DFT (GGA-PBE) results for PmTmGeS after structural relaxation.

Lattice parameters (Å, degrees): 4.0740 4.0740 7.0859 73.29 73.29 60.00
Positions (direct):
Tm 0.1939 0.1939 0.4184
Ge 0.9406 0.9406 0.1783
Pm 0.6938 0.6938 0.9185
S 0.4482 0.4482 0.6555

Values from the calculation:
formation energy from raw total energies	-1.428	eV per atom
M_tot	0.000	μB/atom


Entry 4:
DFT (GGA-PBE) results for Al2SbRu after structural relaxation.

Lattice parameters (Å, degrees): 3.0813 3.0813 7.7413 90.00 90.00 90.00
Positions (direct):
Ru 0.0000 0.0000 0.4700
Al 0.0000 0.0000 0.0475
Al 0.5000 0.5000 0.2876
Sb 0.5000 0.5000 0.6949

Values from the calculation:
formation energy from raw total energies	-0.107	eV per atom
M_tot	0.000	μB/atom


Entry 5:
DFT (GGA-PBE) results for CdSbMoI2 after structural relaxation.

Lattice parameters (Å, degrees): 5.8417 5.8417 5.6424 90.00 90.00 90.00
Positions (direct):
Mo 0.5000 0.5000 0.5000
I 0.0000 0.5000 0.0000
I 0.5000 0.0000 0.0000
Cd 0.0000 0.0000 0.0000
Sb 0.0000 0.0000 0.5000

Values from the calculation:
formation energy from raw total energies	1.095	eV per atom
M_tot	0.677	μB/atom
excess energy over the best structure of this formula in the dataset	663	meV/atom


Entry 6:
DFT (GGA-PBE) results for IrPtBr after structural relaxation.

Lattice parameters (Å, degrees): 6.4869 6.4869 6.4869 153.07 153.07 38.45
Positions (direct):
Ir 0.3266 0.3266 0.0000
Pt 0.6956 0.6956 0.0000
Br 0.9778 0.9778 0.0000

Values from the calculation:
formation energy from raw total energies	0.843	eV per atom
M_tot	0.000	μB/atom
excess energy over the best structure of this formula in the dataset	303	meV/atom


Entry 7:
DFT (GGA-PBE) results for Ce3LuMn after structural relaxation.

Lattice parameters (Å, degrees): 5.1400 5.1400 5.1400 90.00 90.00 90.00
Positions (direct):
Lu 0.5000 0.5000 0.5000
Ce 0.0000 0.5000 0.0000
Ce 0.5000 0.0000 0.0000
Ce 0.0000 0.0000 0.5000
Mn 0.0000 0.0000 0.0000

Values from the calculation:
M_tot	0.000	μB/atom
formation energy from the elements	0.1554	eV per atom


Entry 8:
DFT (GGA-PBE) results for PrHfS after structural relaxation.

Lattice parameters (Å, degrees): 5.1667 3.5126 8.6077 101.77 107.47 90.00
Positions (direct):
Hf 0.7516 0.5000 0.0000
Hf 0.2484 0.5000 0.0000
Pr 0.6706 0.1706 0.3412
Pr 0.3294 0.8294 0.6588
S 0.8501 0.3501 0.7001
S 0.1499 0.6499 0.2999

Values from the calculation:
formation energy from raw total energies	-0.685	eV per atom
M_tot	0.000	μB/atom